A relaxed BaErMgIn crystal, computed with GGA-PBE.

Cell lengths 5.6689, 5.6689, 5.6689 Å; angles 60.00, 60.00, 60.00 degrees
Closest atoms and distances in Å follow each position.
Sites, in units of the cell vectors:
Ba1 0.2500 0.2500 0.2500  4 In 3.47, 4 Mg 3.47
Er1 0.7500 0.7500 0.7500  4 Mg 3.47, 4 In 3.47
Mg1 0.0000 0.0000 0.0000  4 Ba 3.47, 4 Er 3.47
In1 0.5000 0.5000 0.5000  4 Er 3.47, 4 Ba 3.47

## Properties
* spin magnetization: 0.00 μB/f.u.
* E: -2.846 eV/atom
* symmetry: F-43m, No. 216



A relaxed BaNaErIn crystal, computed with GGA-PBE.

Cell lengths 5.7656, 5.7656, 5.7656 Å; angles 60.00, 60.00, 60.00 degrees
Closest atoms and distances in Å follow each position.
Sites, in units of the cell vectors:
Er1 0.7500 0.7500 0.7500  4 In 3.53, 4 Na 3.53
Ba1 0.2500 0.2500 0.2500  4 In 3.53, 4 Na 3.53
In1 0.0000 0.0000 0.0000  4 Er 3.53, 4 Ba 3.53
Na1 0.5000 0.5000 0.5000  4 Ba 3.53, 4 Er 3.53

## Properties
* spin magnetization: 0.00 μB/f.u.
* E: -2.678 eV/atom
* symmetry: F-43m, No. 216



A relaxed BaEr2InO5 crystal, computed with GGA-PBE.

Cell lengths 4.0441, 5.8745, 6.8468 Å; angles 115.40, 107.18, 90.00 degrees
Closest atoms and distances in Å follow each position.
Sites, in units of the cell vectors:
Ba1 0.0000 0.5000 0.0000  10 O 2.94-3.12
In1 0.5000 0.0000 0.0000  2 O 2.02
O1 0.6543 0.3899 0.3085  1 Er 2.17, 1 In 2.27
O2 0.0000 0.0000 0.0000  2 In 2.02
O3 0.6543 0.9186 0.3085  1 Er 2.17, 1 In 2.27
O4 0.3457 0.0814 0.6915  1 Er 2.17, 1 In 2.27
O5 0.3457 0.6101 0.6915  1 Er 2.17, 1 In 2.27
Er1 0.7843 0.7843 0.5685  2 O 2.17
Er2 0.2157 0.2157 0.4315  2 O 2.17

## Properties
* formation energy (no corrections): -2.566 eV per atom
* spin magnetization: 0.01 μB/f.u.
* E: -6.852 eV/atom
* symmetry: Immm, No. 71



What did the third record say?
A relaxed BaEr2InO5 crystal, computed with GGA-PBE.

Cell lengths 4.0441, 5.8745, 6.8468 Å; angles 115.40, 107.18, 90.00 degrees
Closest atoms and distances in Å follow each position.
Sites, in units of the cell vectors:
Ba1 0.0000 0.5000 0.0000  10 O 2.94-3.12
In1 0.5000 0.0000 0.0000  2 O 2.02
O1 0.6543 0.3899 0.3085  1 Er 2.17, 1 In 2.27
O2 0.0000 0.0000 0.0000  2 In 2.02
O3 0.6543 0.9186 0.3085  1 Er 2.17, 1 In 2.27
O4 0.3457 0.0814 0.6915  1 Er 2.17, 1 In 2.27
O5 0.3457 0.6101 0.6915  1 Er 2.17, 1 In 2.27
Er1 0.7843 0.7843 0.5685  2 O 2.17
Er2 0.2157 0.2157 0.4315  2 O 2.17

## Properties
* formation energy (no corrections): -2.566 eV per atom
* spin magnetization: 0.01 μB/f.u.
* E: -6.852 eV/atom
* symmetry: Immm, No. 71